(1)
Here is PrTm2Pb3 after structural relaxation from Alexandria via LeMat-Bulk. Energies are from PBE-GGA.

The magnetic moment is 0.0 μB per formula unit. The calculation puts the energy relative to the elements at -2.64 eV per formula unit. The value obtained for the energy above the most stable polymorph in this dataset is 0.15 eV per formula unit.

It has space group Pmc2_1 (No. 26), with a = 4.870 Å, b = 10.111 Å, c = 7.267 Å, α = 90.00°, β = 90.00° and γ = 90.00°. The asymmetric unit holds Pr at (0.000, 0.073, 0.000), Tm at (0.000, 0.287, 0.500), Tm at (0.500, 0.499, 0.248), Pb at (0.000, 0.403, 0.997), Pb at (0.500, 0.159, 0.284) and Pb at (0.500, 0.159, 0.716).


(2)
Here is LiNi2Pt after structural relaxation from Alexandria via LeMat-Bulk. Energies are from PBE-GGA.

The magnetic moment is 1.6 μB per formula unit. The calculation puts the energy relative to the elements at -0.70 eV per formula unit.

It has space group I-4m2 (No. 119), with a = 3.691 Å, b = 3.691 Å, c = 7.195 Å, α = 90.00°, β = 90.00° and γ = 90.00°. The asymmetric unit holds Li at (0.000, 0.000, 0.000), Ni at (0.000, 0.000, 0.500), Ni at (0.000, 0.500, 0.750) and Pt at (0.000, 0.500, 0.250).


(3)
Here is MnIn2Re after structural relaxation from Alexandria via LeMat-Bulk. Energies are from PBE-GGA.

The magnetic moment is 3.4 μB per formula unit. The calculation puts the energy relative to the elements at 2.63 eV per formula unit. The value obtained for the energy above the most stable polymorph in this dataset is 1.57 eV per formula unit.

It has space group F-43m (No. 216), with a = 6.562 Å, b = 6.562 Å, c = 6.562 Å, α = 90.00°, β = 90.00° and γ = 90.00°. The asymmetric unit holds Mn at (0.000, 0.000, 0.000), In at (0.000, 0.000, 0.500), In at (0.250, 0.250, 0.750) and Re at (0.250, 0.250, 0.250).


(4)
Here is PrTmNi2H8 after structural relaxation from Alexandria via LeMat-Bulk. Energies are from PBE-GGA.

The magnetic moment is 0.0 μB per formula unit. As for the energy: -4.261 eV/atom.

It has space group R-3m (No. 166, hexagonal axes), with a = 4.4322 Å, b = 4.4322 Å, c = 19.3320 Å, α = 90.00°, β = 90.00° and γ = 120.00°. The asymmetric unit holds Pr at (0.0000, 0.0000, 0.0000), Tm at (0.0000, 0.0000, 0.5000), Ni at (0.0000, 0.0000, 0.2526), H at (0.0000, 0.0000, 0.3354) and H at (0.0386, 0.5193, 0.5543).


(5)
Here is AgOsI2N after structural relaxation from Alexandria via LeMat-Bulk. Energies are from PBE-GGA.

The magnetic moment is 0.0 μB per formula unit. Its formation energy without anion corrections is 0.47 eV per atom. The value obtained for the energy above the most stable polymorph in this dataset is 0.00 eV per formula unit.

It has space group P4/mmm (No. 123), with a = 5.622 Å, b = 5.622 Å, c = 3.740 Å, α = 90.00°, β = 90.00° and γ = 90.00°. The asymmetric unit holds Ag at (0.000, 0.000, 0.000), Os at (0.500, 0.500, 0.500), I at (0.000, 0.500, 0.500) and N at (0.500, 0.500, 0.000).


(6)
Here is Tb4Nd5Ho after structural relaxation from Alexandria via LeMat-Bulk. Energies are from PBE-GGA.

The magnetic moment is 0.0 μB per formula unit. The calculation puts the energy relative to the elements at 0.16 eV per formula unit. The value obtained for the energy above the most stable polymorph in this dataset is 0.00 eV per formula unit.

It has space group P-1 (No. 2), with a = 3.617 Å, b = 9.558 Å, c = 10.240 Å, α = 74.39°, β = 89.94° and γ = 79.12°. The asymmetric unit holds Tb at (0.100, 0.300, 0.296), Tb at (0.300, 0.899, 0.900), Nd at (0.100, 0.301, 0.804), Nd at (0.300, 0.900, 0.400), Nd at (0.500, 0.500, 0.500) and Ho at (0.500, 0.500, 0.000).


(7)
Here is P4PtF12 after structural relaxation from Alexandria via LeMat-Bulk. Energies are from PBE-GGA.

The magnetic moment is 0.0 μB per formula unit. Its formation energy without anion corrections is -2.32 eV per atom.

It has space group I-43m (No. 217), with a = 8.495 Å, b = 8.495 Å, c = 8.495 Å, α = 90.00°, β = 90.00° and γ = 90.00°. The asymmetric unit holds P at (0.153, 0.153, 0.847), Pt at (0.000, 0.000, 0.000) and F at (0.139, 0.139, 0.662).


(8)
Here is LiNi2P after structural relaxation from Alexandria via LeMat-Bulk. Energies are from PBE-GGA.

The magnetic moment is 0.0 μB per formula unit. The calculation puts the energy relative to the elements at -1.42 eV per formula unit.

It has space group Cm (No. 8), with a = 8.140 Å, b = 2.922 Å, c = 3.850 Å, α = 90.00°, β = 107.94° and γ = 90.00°. The asymmetric unit holds Li at (0.000, 0.000, 0.000), Ni at (0.246, 0.000, 0.813), Ni at (0.481, 0.000, 0.469) and P at (0.259, 0.500, 0.349).